Record 1
Density functional theory data (GGA-PBE) for Dy2HoMgHg4 after structural relaxation.

Cell: 9.034 9.034 9.034 Å, 33.12 33.12 33.12°
Fractional coordinates of all 8 atoms:
1 Dy 0.246 0.246 0.246
2 Dy 0.754 0.754 0.754
3 Ho 0.000 0.000 0.000
4 Mg 0.500 0.500 0.500
5 Hg 0.125 0.125 0.125
6 Hg 0.373 0.373 0.373
7 Hg 0.627 0.627 0.627
8 Hg 0.875 0.875 0.875

The calculation puts the calculated density at 11.16 Mg/m³. The space group is R-3m (166). The raw total energy is -2.54 eV per atom. For the size of the total moment, the calculation gives 0.00 μB/f.u.

=====

Record 2
Density functional theory data (GGA-PBE) for RbCu2Ni after structural relaxation.

Cell: 8.739 8.739 8.739 Å, 146.89 146.89 47.53°
Fractional coordinates of all 8 atoms:
1 Rb 0.375 0.625 0.750
2 Rb 0.625 0.375 0.250
3 Cu 0.000 0.000 0.000
4 Cu 0.000 0.000 0.500
5 Cu 0.000 0.500 0.000
6 Cu 0.500 0.000 0.500
7 Ni 0.125 0.875 0.250
8 Ni 0.875 0.125 0.750

The calculation puts the calculated density at 4.54 Mg/m³. The space group is I4_1/amd (141). For the size of the total moment, the calculation gives 0.47 μB/f.u. As for the distance to the lowest polymorph of the same formula: 0 meV/atom.

=====

Record 3
Density functional theory data (GGA-PBE) for AcEuAlBi after structural relaxation.

Cell: 5.686 5.686 5.686 Å, 60.00 60.00 60.00°
Fractional coordinates of all 4 atoms:
1 Ac 0.000 0.000 0.000
2 Eu 0.500 0.500 0.500
3 Al 0.250 0.250 0.250
4 Bi 0.750 0.750 0.750

The calculation puts the calculated density at 7.86 Mg/m³. The space group is F-43m (216). The raw total energy is -5.90 eV per atom. For the size of the total moment, the calculation gives 7.18 μB/f.u.

=====

Record 4
Density functional theory data (GGA-PBE) for Ca5Y after structural relaxation.

Cell: 7.407 7.407 9.154 Å, 105.31 105.31 29.79°
Fractional coordinates of all 6 atoms:
1 Ca 0.000 0.000 0.000
2 Ca 0.054 0.054 0.621
3 Ca 0.325 0.325 0.681
4 Ca 0.384 0.384 0.273
5 Ca 0.664 0.664 0.332
6 Y 0.718 0.718 0.948

The calculation puts the calculated density at 2.00 Mg/m³. The space group is Cm (8). For the size of the total moment, the calculation gives 1.29 μB/f.u. As for the distance to the lowest polymorph of the same formula: 16 meV/atom.

=====

Record 5
Density functional theory data (GGA-PBE) for Ac4Sm2Bi3N2 after structural relaxation.

Cell: 14.151 14.151 14.151 Å, 159.32 159.32 29.41°
Fractional coordinates of all 11 atoms:
1 Ac 0.086 0.586 0.500
2 Ac 0.414 0.914 0.500
3 Ac 0.586 0.086 0.500
4 Ac 0.914 0.414 0.500
5 Sm 0.193 0.193 0.000
6 Sm 0.807 0.807 0.000
7 Bi 0.316 0.316 0.000
8 Bi 0.500 0.500 0.000
9 Bi 0.684 0.684 0.000
10 N 0.112 0.112 0.000
11 N 0.888 0.888 0.000

The calculation puts the calculated density at 8.76 Mg/m³. The space group is I4/mmm (139). The uncorrected formation energy is -0.90 eV per atom. For the size of the total moment, the calculation gives 0.00 μB/f.u.

=====

Record 6
Density functional theory data (GGA-PBE) for PuMn4Os after structural relaxation.

Cell: 4.857 4.857 4.857 Å, 60.00 60.00 60.00°
Fractional coordinates of all 6 atoms:
1 Pu 0.000 0.000 0.000
2 Mn 0.126 0.625 0.625
3 Mn 0.625 0.126 0.625
4 Mn 0.625 0.625 0.126
5 Mn 0.625 0.625 0.625
6 Os 0.250 0.250 0.250

The calculation puts the calculated density at 13.40 Mg/m³. The space group is F-43m (216). The raw total energy is -10.12 eV per atom. For the size of the total moment, the calculation gives 6.88 μB/f.u.

=====

Repeat the second record exactly.
Density functional theory data (GGA-PBE) for RbCu2Ni after structural relaxation.

Cell: 8.739 8.739 8.739 Å, 146.89 146.89 47.53°
Fractional coordinates of all 8 atoms:
1 Rb 0.375 0.625 0.750
2 Rb 0.625 0.375 0.250
3 Cu 0.000 0.000 0.000
4 Cu 0.000 0.000 0.500
5 Cu 0.000 0.500 0.000
6 Cu 0.500 0.000 0.500
7 Ni 0.125 0.875 0.250
8 Ni 0.875 0.125 0.750

The calculation puts the calculated density at 4.54 Mg/m³. The space group is I4_1/amd (141). For the size of the total moment, the calculation gives 0.47 μB/f.u. As for the distance to the lowest polymorph of the same formula: 0 meV/atom.